Density functional theory data (PBE-GGA) for a relaxed structure of VBiRhCl.

Unit cell a=3.0961 b=3.8399 c=8.7292 alpha=100.93 beta=90.14 gamma=113.66
Space group P1 (No. 1)
Inequivalent atoms, fractional coordinates:
V1 0.0000 0.0000 0.0000 (multiplicity 1)
Bi1 0.0828 0.1621 0.3746 (multiplicity 1)
Rh1 0.3138 0.6246 0.1411 (multiplicity 1)
Cl1 0.4781 0.9589 0.7933 (multiplicity 1)

Properties
total DFT energy (no corrections) = -5.905 eV/atom
E above lowest polymorph = 0.110 eV per formula unit
ΔE_f (raw) = -0.356 eV per atom



Density functional theory data (PBE-GGA) for a relaxed structure of VBiRhCl.

Unit cell a=3.0865 b=4.2349 c=8.0384 alpha=100.13 beta=93.83 gamma=111.18
Space group P1 (No. 1)
Inequivalent atoms, fractional coordinates:
V1 0.0000 0.0000 0.0000 (multiplicity 1)
Bi1 0.6879 0.2540 0.3414 (multiplicity 1)
Rh1 0.3164 0.5896 0.1195 (multiplicity 1)
Cl1 0.4291 0.9361 0.7741 (multiplicity 1)

Properties
total DFT energy (no corrections) = -5.875 eV/atom
E above lowest polymorph = 0.230 eV per formula unit
ΔE_f (raw) = -0.326 eV per atom



Density functional theory data (PBE-GGA) for a relaxed structure of VBiRhCl.

Unit cell a=5.6304 b=3.2740 c=9.3707 alpha=90.00 beta=90.19 gamma=90.00
Space group Cm (No. 8)
Inequivalent atoms, fractional coordinates:
V1 0.0000 0.0000 0.0000 (multiplicity 2)
Bi1 0.3335 0.0000 0.5807 (multiplicity 2)
Rh1 0.1568 0.5000 0.8395 (multiplicity 2)
Cl1 0.1690 0.5000 0.1786 (multiplicity 2)

Properties
total DFT energy (no corrections) = -5.847 eV/atom
E above lowest polymorph = 0.341 eV per formula unit
ΔE_f (raw) = -0.298 eV per atom



Density functional theory data (PBE-GGA) for a relaxed structure of BiRhWCl2.

Unit cell a=5.2998 b=5.2998 c=5.2923 alpha=90.00 beta=90.00 gamma=90.00
Space group P4/mmm (No. 123)
Inequivalent atoms, fractional coordinates:
Bi1 0.0000 0.0000 0.0000 (multiplicity 1)
Rh1 0.0000 0.0000 0.5000 (multiplicity 1)
W1 0.5000 0.5000 0.5000 (multiplicity 1)
Cl1 0.0000 0.5000 0.0000 (multiplicity 2)

Properties
total DFT energy (no corrections) = -4.130 eV/atom
ΔE_f (raw) = 1.446 eV per atom



Density functional theory data (PBE-GGA) for a relaxed structure of ZnBi2RhCl.

Unit cell a=5.3685 b=5.3685 c=4.7745 alpha=90.00 beta=90.00 gamma=90.00
Space group P4/mmm (No. 123)
Inequivalent atoms, fractional coordinates:
Zn1 0.0000 0.0000 0.0000 (multiplicity 1)
Bi1 0.0000 0.5000 0.5000 (multiplicity 2)
Rh1 0.5000 0.5000 0.5000 (multiplicity 1)
Cl1 0.5000 0.5000 0.0000 (multiplicity 1)

Properties
total DFT energy (no corrections) = -3.430 eV/atom
ΔE_f (raw) = 0.216 eV per atom



Density functional theory data (PBE-GGA) for a relaxed structure of BiRu2Cl.

Unit cell a=6.5479 b=6.5479 c=6.5479 alpha=90.00 beta=90.00 gamma=90.00
Space group Fm-3m (No. 225)
Inequivalent atoms, fractional coordinates:
Bi1 0.0000 0.0000 0.0000 (multiplicity 4)
Ru1 0.2500 0.2500 0.2500 (multiplicity 8)
Cl1 0.0000 0.0000 0.5000 (multiplicity 4)

Properties
total DFT energy (no corrections) = -5.309 eV/atom
E above lowest polymorph = 0.702 eV per formula unit
ΔE_f (raw) = 0.761 eV per atom



Density functional theory data (PBE-GGA) for a relaxed structure of Bi6RuCl2.

Unit cell a=7.3105 b=17.0379 c=9.1929 alpha=90.00 beta=104.98 gamma=90.00
Space group C2/c (No. 15)
Inequivalent atoms, fractional coordinates:
Bi1 0.0289 0.0918 0.0552 (multiplicity 8)
Bi2 0.1506 0.4660 0.6444 (multiplicity 8)
Bi3 0.2233 0.3441 0.2418 (multiplicity 8)
Ru1 0.0000 0.0486 0.7500 (multiplicity 4)
Cl1 0.0251 0.2917 0.9569 (multiplicity 8)

Properties
total DFT energy (no corrections) = -4.184 eV/atom
ΔE_f (raw) = -0.155 eV per atom



Density functional theory data (PBE-GGA) for a relaxed structure of BiRu2Cl.

Unit cell a=4.6508 b=4.6508 c=15.1978 alpha=90.00 beta=90.00 gamma=90.00
Space group I-42d (No. 122)
Inequivalent atoms, fractional coordinates:
Bi1 0.0000 0.0000 0.0000 (multiplicity 4)
Ru1 0.1390 0.2500 0.6250 (multiplicity 8)
Cl1 0.0000 0.0000 0.5000 (multiplicity 4)

Properties
total DFT energy (no corrections) = -5.484 eV/atom
E above lowest polymorph = 0.000 eV per formula unit
ΔE_f (raw) = 0.586 eV per atom